Computed, not measured: a geometry-optimized BC5 structure at the PBE level of DFT.

Values from the calculation:
E above lowest polymorph = 58 meV/atom
magnetization = 0.0 μB/f.u.
E = -8.53 eV/atom
ρ = 3261 kg/m3
formation enthalpy at 0 K = 0.27 eV/atom
DOS at the Fermi energy = 1.6 states/eV per cell

a b c (Å): 5.828 5.828 5.188
angles (deg): 103.11 103.11 24.90
Atoms (fractional coordinates):
B 0.320 0.320 0.163
C 0.664 0.664 0.339
C 0.334 0.334 0.667
C 0.669 0.669 0.830
C 0.247 0.247 0.861
C 0.916 0.916 0.708
C 0.006 0.006 0.991
C 0.586 0.586 0.036
B 0.930 0.930 0.212
C 0.581 0.581 0.545
C 0.003 0.003 0.514
C 0.244 0.244 0.384